i:
! CaAl2Pb2 (PBE-GGA, relaxed); values from VASP
&SYSTEM
  ibrav = 0, nat = 10, ntyp = 3
/
ATOMIC_SPECIES
Ca 40.08 Ca.upf
Al 26.98 Al.upf
Pb 207.20 Pb.upf
CELL_PARAMETERS angstrom
8.4636 0.0000 0.0000
0.0000 8.4636 0.0000
0.0000 0.0000 3.7252
ATOMIC_POSITIONS angstrom
Ca 0.0000 0.0000 0.0000
Ca 4.2318 4.2318 0.0000
Al 1.2518 2.9800 1.8626
Al 2.9800 7.2118 1.8626
Al 5.4836 1.2518 1.8626
Al 7.2118 5.4836 1.8626
Pb 1.2246 5.4564 0.0000
Pb 3.0071 1.2246 0.0000
Pb 5.4564 7.2389 0.0000
Pb 7.2389 3.0071 0.0000
! size of the total moment: 0.00 μB per formula unit
! V: 26.7 A^3/atom

***

ii:
! CaAl2Pb2 (PBE-GGA, relaxed); values from VASP
&SYSTEM
  ibrav = 0, nat = 10, ntyp = 3
/
ATOMIC_SPECIES
Ca 40.08 Ca.upf
Al 26.98 Al.upf
Pb 207.20 Pb.upf
CELL_PARAMETERS angstrom
8.2458 0.0000 0.0000
0.0000 8.2458 0.0000
0.0000 0.0000 3.8460
ATOMIC_POSITIONS angstrom
Ca 0.0000 0.0000 0.0000
Ca 4.1229 4.1229 0.0000
Al 0.9583 3.1646 0.0000
Al 3.1646 7.2875 0.0000
Al 5.0811 0.9583 0.0000
Al 7.2875 5.0811 0.0000
Pb 1.4623 5.5852 1.9230
Pb 2.6606 1.4623 1.9230
Pb 5.5852 6.7835 1.9230
Pb 6.7835 2.6606 1.9230
! size of the total moment: 0.00 μB per formula unit
! V: 26.2 A^3/atom

***

iii:
! CaAl2Pb2 (PBE-GGA, relaxed); values from VASP
&SYSTEM
  ibrav = 0, nat = 5, ntyp = 3
/
ATOMIC_SPECIES
Ca 40.08 Ca.upf
Al 26.98 Al.upf
Pb 207.20 Pb.upf
CELL_PARAMETERS angstrom
-2.0911 2.0911 7.7552
2.0911 -2.0911 7.7552
2.0911 2.0911 -7.7552
ATOMIC_POSITIONS angstrom
Ca 0.0000 0.0000 0.0000
Al 2.0911 0.0000 3.8776
Al 0.0000 2.0911 3.8776
Pb 0.0000 0.0000 5.9729
Pb 0.0000 0.0000 9.5374
! size of the total moment: 0.00 μB per formula unit
! V: 27.1 A^3/atom

***

ii is favored, and the nearest alternative lies 0.8 kJ/mol of atoms above it.